1.
Below is crystalline KNpCrN4 at its relaxed geometry, with properties calculated at the PBE level.

```
14
Lattice="5.719 0.000 -0.013 0.000 5.559 0.000 -2.246 0.000 7.256" Properties=species:S:1:pos:R:3 pbc="T T T"
K 1.912 4.169 6.735
K 1.561 1.390 0.507
Np 3.408 4.169 3.257
Np 0.065 1.390 3.986
Cr 0.575 4.169 2.460
Cr 2.899 1.390 4.782
N 4.022 2.735 4.863
N -0.548 5.515 2.380
N -0.548 2.824 2.380
N 4.022 0.044 4.863
N 2.094 4.169 1.568
N 1.379 1.390 5.675
N 1.312 4.169 4.003
N 2.161 1.390 3.239
```

SG   P2_1/m
Formation energy from raw total energies   -0.5415 eV/atom
V   16.47 Å³/atom

2.
Below is crystalline MnCoP at its relaxed geometry, with properties calculated at the PBE level.

```
3
Lattice="-0.566 -0.541 -3.688 3.007 -1.523 1.689 -1.510 -2.343 0.576" Properties=species:S:1:pos:R:3 pbc="T T T"
Mn -0.046 -0.071 0.017
Co -0.176 -2.111 -1.590
P 1.016 -2.437 0.202
```

SG   P-6m2
V   11.68 Å³/atom
Formation enthalpy at 0 K   -0.375 eV/atom

3.
Below is crystalline Mg3Zn3Rh2 at its relaxed geometry, with properties calculated at the PBE level.

```
32
Lattice="-3.238 2.298 -3.554 -4.352 -4.455 1.085 -6.426 9.143 11.767" Properties=species:S:1:pos:R:3 pbc="T T T"
Mg -4.981 1.647 4.581
Mg -6.069 7.005 5.042
Mg -10.750 7.778 7.856
Mg -6.232 -2.459 1.116
Mg -9.036 5.339 4.716
Mg -7.947 -0.019 4.256
Mg -3.266 -0.793 1.441
Mg -7.784 9.445 8.182
Mg -5.142 2.326 0.980
Mg -6.063 6.437 8.473
Mg -8.874 4.660 8.318
Mg -7.953 0.549 0.825
Zn -2.848 1.785 2.653
Zn -8.261 6.910 6.905
Zn -11.168 5.201 6.644
Zn -5.755 0.076 2.393
Zn -6.417 4.378 3.882
Zn -4.453 4.147 5.938
Zn -10.581 6.851 10.876
Zn -6.581 -1.404 -2.101
Zn -7.599 2.608 5.416
Zn -9.563 2.839 3.359
Zn -3.435 0.135 -1.578
Zn -7.435 8.390 11.399
Rh -5.755 4.923 1.486
Rh -6.854 4.836 6.426
Rh -9.903 4.398 10.818
Rh -5.520 -0.185 -0.135
Rh -8.262 2.063 7.812
Rh -7.162 2.150 2.872
Rh -4.113 2.587 -1.520
Rh -8.496 7.171 9.432
```

SG   Pnma
V   17.08 Å³/atom
Formation enthalpy at 0 K   -0.315 eV/atom

4.
Below is crystalline LiAc2Re at its relaxed geometry, with properties calculated at the PBE level.

```
4
Lattice="-2.661 -1.909 1.201 0.337 -1.784 2.979 -4.687 7.965 7.345" Properties=species:S:1:pos:R:3 pbc="T T T"
Re 0.000 0.000 0.000
Ac -3.776 5.824 5.959
Ac -3.235 -1.553 5.565
Li -3.505 2.136 5.762
```

SG   R-3m
V   30.65 Å³/atom
Formation enthalpy at 0 K   1.120 eV/atom

5.
Below is crystalline CoSn2Os at its relaxed geometry, with properties calculated at the PBE level.

```
8
Lattice="4.188 0.000 0.000 0.000 4.188 0.000 2.094 2.094 8.803" Properties=species:S:1:pos:R:3 pbc="T T T"
Co 2.094 2.094 0.000
Co 2.094 4.188 4.402
Os 0.000 0.000 0.000
Os 4.188 2.094 4.402
Sn 3.091 1.047 2.201
Sn 1.097 3.141 2.201
Sn 3.141 3.191 6.603
Sn 5.235 5.185 6.603
```

SG   I-42d
Offset from the most stable computed form   0.442 eV/atom
V   19.30 Å³/atom
Formation enthalpy at 0 K   0.752 eV/atom

6.
Below is crystalline NaY2SbO6 at its relaxed geometry, with properties calculated at the PBE level.

```
10
Lattice="5.696 0.000 0.000 2.848 4.933 0.000 2.848 1.644 5.043" Properties=species:S:1:pos:R:3 pbc="T T T"
Na 8.544 4.933 3.038
Y 5.696 3.289 2.109
Y 2.848 1.644 4.733
Sb 2.848 1.644 0.181
O 4.591 1.518 1.186
O 4.715 5.131 1.186
O 7.782 3.217 1.186
O 6.421 4.660 3.892
O 6.521 1.975 3.892
O 4.146 3.230 3.892
```

SG   R3
Formation energy from raw total energies   -2.5662 eV/atom
V   14.17 Å³/atom

7.
Below is crystalline MgGa5Ag4 at its relaxed geometry, with properties calculated at the PBE level.

```
10
Lattice="-4.118 -1.326 4.537 -1.162 -2.426 -5.362 1.293 -7.071 -2.211" Properties=species:S:1:pos:R:3 pbc="T T T"
Mg -2.059 -0.663 2.268
Ga -0.651 -3.510 -1.788
Ga -1.178 -4.645 -4.327
Ga -2.809 -6.177 1.291
Ga -2.640 -1.876 -0.413
Ga -3.336 -7.312 -1.248
Ag -2.396 -3.450 1.871
Ag -0.332 -0.640 -1.243
Ag -1.591 -7.372 -4.907
Ag -3.655 -10.182 -1.793
```

SG   P-1
V   19.81 Å³/atom
Formation enthalpy at 0 K   0.037 eV/atom